No. 1
A relaxed Sr3In2Pd3 crystal. Source: Alexandria via LeMat-Bulk, functional PBE.

a b c (Å): 8.386 15.855 6.733
angles (deg): 90.00 90.00 90.00
Space group Pnma (No. 62)
Symmetry-distinct sites (fractional):
Sr 0.016 0.106 0.156 (multiplicity 8)
Sr 0.130 0.750 0.390 (multiplicity 4)
In 0.166 0.098 0.637 (multiplicity 8)
Pd 0.140 0.546 0.424 (multiplicity 8)
Pd 0.224 0.250 0.430 (multiplicity 4)

Calculated values
**Energy of formation from the pure elements**: -619 meV/atom
**N(E_F)**: 3.36 states/eV/f.u.



No. 2
A relaxed Sr8InPd2 crystal. Source: Alexandria via LeMat-Bulk, functional PBE.

a b c (Å): 9.836 14.488 6.218
angles (deg): 90.00 103.72 90.00
Space group Cm (No. 8)
Symmetry-distinct sites (fractional):
Sr 0.000 0.000 0.000 (multiplicity 2)
Sr 0.072 0.368 0.783 (multiplicity 4)
Sr 0.180 0.132 0.616 (multiplicity 4)
Sr 0.253 0.500 0.400 (multiplicity 2)
Sr 0.376 0.243 0.199 (multiplicity 4)
In 0.377 0.000 0.202 (multiplicity 2)
Pd 0.376 0.313 0.699 (multiplicity 4)

Calculated values
**Energy of formation from the pure elements**: -296 meV/atom
**N(E_F)**: 8.91 states/eV/f.u.



No. 3
A relaxed Sr3In3Pd2 crystal. Source: Alexandria via LeMat-Bulk, functional PBE.

a b c (Å): 8.586 17.086 6.207
angles (deg): 90.00 90.00 90.00
Space group Pnma (No. 62)
Symmetry-distinct sites (fractional):
Sr 0.039 0.108 0.110 (multiplicity 8)
Sr 0.180 0.250 0.627 (multiplicity 4)
In 0.162 0.750 0.616 (multiplicity 4)
In 0.177 0.037 0.604 (multiplicity 8)
Pd 0.114 0.608 0.388 (multiplicity 8)

Calculated values
**Energy of formation from the pure elements**: -564 meV/atom
**N(E_F)**: 5.11 states/eV/f.u.



No. 4
A relaxed SrIn4Pd2 crystal. Source: Alexandria via LeMat-Bulk, functional PBE.

a b c (Å): 18.809 4.672 7.357
angles (deg): 90.00 90.00 90.00
Space group Pnma (No. 62)
Symmetry-distinct sites (fractional):
Sr 0.140 0.250 0.027 (multiplicity 4)
In 0.034 0.750 0.844 (multiplicity 4)
In 0.072 0.250 0.496 (multiplicity 4)
In 0.185 0.750 0.329 (multiplicity 4)
In 0.192 0.750 0.736 (multiplicity 4)
Pd 0.039 0.750 0.253 (multiplicity 4)
Pd 0.219 0.250 0.537 (multiplicity 4)

Calculated values
**Energy of formation from the pure elements**: -505 meV/atom
**N(E_F)**: 3.12 states/eV/f.u.



No. 5
A relaxed SrIn6Pd12 crystal. Source: Alexandria via LeMat-Bulk, functional PBE.

a b c (Å): 12.0464 12.0464 8.9305
angles (deg): 90.00 90.00 120.00
Space group R-3m (No. 166, hexagonal axes)
Symmetry-distinct sites (fractional):
Sr 0.0000 0.0000 0.0000 (multiplicity 3)
In 0.0492 0.5246 0.2427 (multiplicity 18)
Pd 0.0000 0.3861 0.5000 (multiplicity 18)
Pd 0.0810 0.1621 0.3027 (multiplicity 18)

Calculated values
**Energy of formation from the pure elements**: -400 meV/atom
**N(E_F)**: 4.26 states/eV/f.u.



No. 6
A relaxed Sr3In7Pd4 crystal. Source: Alexandria via LeMat-Bulk, functional PBE.

a b c (Å): 17.100 4.649 10.227
angles (deg): 90.00 123.05 90.00
Space group C2/m (No. 12)
Symmetry-distinct sites (fractional):
Sr 0.000 0.000 0.000 (multiplicity 2)
Sr 0.192 0.500 0.699 (multiplicity 4)
In 0.000 0.000 0.500 (multiplicity 2)
In 0.003 0.500 0.286 (multiplicity 4)
In 0.159 0.000 0.426 (multiplicity 4)
In 0.183 0.500 0.029 (multiplicity 4)
Pd 0.118 0.000 0.838 (multiplicity 4)
Pd 0.162 0.500 0.282 (multiplicity 4)

Calculated values
**Energy of formation from the pure elements**: -568 meV/atom
**N(E_F)**: 6.68 states/eV/f.u.



No. 7
A relaxed SrIn3Pd3 crystal. Source: Alexandria via LeMat-Bulk, functional PBE.

a b c (Å): 8.6163 8.6163 16.0190
angles (deg): 90.00 90.00 120.00
Space group R-3 (No. 148, hexagonal axes)
Symmetry-distinct sites (fractional):
Sr 0.0000 0.0000 0.1736 (multiplicity 6)
In 0.0175 0.3033 0.6239 (multiplicity 18)
Pd 0.0088 0.2824 0.4512 (multiplicity 18)

Calculated values
**Energy of formation from the pure elements**: -442 meV/atom
**N(E_F)**: 3.56 states/eV/f.u.
**Energy relative to the lowest polymorph listed for this composition**: 4.9 kJ per mole of atoms



No. 8
A relaxed Sr3InPd3 crystal. Source: Alexandria via LeMat-Bulk, functional PBE.

a b c (Å): 9.2570 9.2570 6.1148
angles (deg): 90.00 90.00 120.00
Space group P6_3/m (No. 176)
Symmetry-distinct sites (fractional):
Sr 0.0571 0.6959 0.2500 (multiplicity 6)
In 0.3333 0.6667 0.7500 (multiplicity 2)
Pd 0.0564 0.6867 0.7500 (multiplicity 6)

Calculated values
**Energy of formation from the pure elements**: -416 meV/atom
**N(E_F)**: 3.44 states/eV/f.u.
**Energy relative to the lowest polymorph listed for this composition**: 20.7 kJ per mole of atoms



No. 9
A relaxed SrIn5Pd3 crystal. Source: Alexandria via LeMat-Bulk, functional PBE.

a b c (Å): 4.328 14.218 14.118
angles (deg): 90.00 90.00 90.00
Space group Cmcm (No. 63)
Symmetry-distinct sites (fractional):
Sr 0.000 0.163 0.250 (multiplicity 4)
In 0.000 0.000 0.000 (multiplicity 4)
In 0.000 0.206 0.567 (multiplicity 8)
In 0.000 0.443 0.150 (multiplicity 8)
Pd 0.000 0.139 0.750 (multiplicity 4)
Pd 0.000 0.392 0.544 (multiplicity 8)

Calculated values
**Energy of formation from the pure elements**: -431 meV/atom
**N(E_F)**: 3.37 states/eV/f.u.



No. 10
A relaxed SrInPd3 crystal. Source: Alexandria via LeMat-Bulk, functional PBE.

a b c (Å): 5.045 5.045 5.045
angles (deg): 90.00 90.00 90.00
Space group Pm-3m (No. 221)
Symmetry-distinct sites (fractional):
Sr 0.000 0.000 0.000 (multiplicity 1)
In 0.500 0.500 0.500 (multiplicity 1)
Pd 0.000 0.500 0.500 (multiplicity 3)

Calculated values
**Energy of formation from the pure elements**: -136 meV/atom
**N(E_F)**: 3.04 states/eV/f.u.
**Energy relative to the lowest polymorph listed for this composition**: 36.4 kJ per mole of atoms



No. 11
A relaxed SrInPd crystal. Source: Alexandria via LeMat-Bulk, functional PBE.

a b c (Å): 4.7094 4.7094 4.3329
angles (deg): 90.00 90.00 120.00
Space group P-6m2 (No. 187)
Symmetry-distinct sites (fractional):
Sr 0.0000 0.0000 0.0000 (multiplicity 1)
In 0.3333 0.6667 0.5000 (multiplicity 1)
Pd 0.6667 0.3333 0.5000 (multiplicity 1)

Calculated values
**Energy of formation from the pure elements**: -563 meV/atom
**N(E_F)**: 2.71 states/eV/f.u.



No. 12
A relaxed Sr2In12Pd7 crystal. Source: Alexandria via LeMat-Bulk, functional PBE.

a b c (Å): 11.0087 11.0087 4.4447
angles (deg): 90.00 90.00 120.00
Space group P-6 (No. 174)
Symmetry-distinct sites (fractional):
Sr 0.0000 0.0000 0.0000 (multiplicity 1)
Sr 0.3333 0.6667 0.5000 (multiplicity 1)
In 0.0280 0.2802 0.5000 (multiplicity 3)
In 0.1405 0.7414 0.0000 (multiplicity 3)
In 0.3751 0.1934 0.0000 (multiplicity 3)
In 0.5429 0.4199 0.5000 (multiplicity 3)
Pd 0.0319 0.4533 0.0000 (multiplicity 3)
Pd 0.2474 0.2320 0.5000 (multiplicity 3)
Pd 0.6667 0.3333 0.0000 (multiplicity 1)

Calculated values
**Energy of formation from the pure elements**: -486 meV/atom
**N(E_F)**: 6.56 states/eV/f.u.



No. 13
A relaxed SrInPd crystal. Source: Alexandria via LeMat-Bulk, functional PBE.

a b c (Å): 6.854 8.866 5.580
angles (deg): 90.00 97.37 90.00
Space group P2_1/c (No. 14)
Symmetry-distinct sites (fractional):
Sr 0.207 0.068 0.285 (multiplicity 4)
In 0.294 0.669 0.289 (multiplicity 4)
Pd 0.418 0.126 0.821 (multiplicity 4)

Calculated values
**Energy of formation from the pure elements**: -521 meV/atom
**N(E_F)**: 1.20 states/eV/f.u.



No. 14
A relaxed Sr2In8Pd crystal. Source: Alexandria via LeMat-Bulk, functional PBE.

a b c (Å): 4.857 4.857 12.464
angles (deg): 90.00 90.00 90.00
Space group P4/mmm (No. 123)
Symmetry-distinct sites (fractional):
Sr 0.000 0.000 0.193 (multiplicity 2)
In 0.000 0.500 0.000 (multiplicity 2)
In 0.000 0.500 0.379 (multiplicity 4)
In 0.500 0.500 0.195 (multiplicity 2)
Pd 0.000 0.000 0.500 (multiplicity 1)

Calculated values
**Energy of formation from the pure elements**: -345 meV/atom
**N(E_F)**: 4.18 states/eV/f.u.



No. 15
A relaxed Sr6InPd2 crystal. Source: Alexandria via LeMat-Bulk, functional PBE.

a b c (Å): 10.359 10.655 11.722
angles (deg): 90.00 90.00 90.00
Space group Immm (No. 71)
Symmetry-distinct sites (fractional):
Sr 0.000 0.192 0.241 (multiplicity 8)
Sr 0.183 0.500 0.163 (multiplicity 8)
Sr 0.210 0.322 0.500 (multiplicity 8)
In 0.000 0.000 0.000 (multiplicity 2)
In 0.000 0.000 0.500 (multiplicity 2)
Pd 0.000 0.318 0.000 (multiplicity 4)
Pd 0.000 0.500 0.376 (multiplicity 4)

Calculated values
**Energy of formation from the pure elements**: -411 meV/atom
**N(E_F)**: 8.67 states/eV/f.u.



No. 16
A relaxed Sr2InPd3 crystal. Source: Alexandria via LeMat-Bulk, functional PBE.

a b c (Å): 4.662 5.779 11.519
angles (deg): 90.00 90.00 90.00
Space group Immm (No. 71)
Symmetry-distinct sites (fractional):
Sr 0.000 0.000 0.179 (multiplicity 4)
In 0.000 0.000 0.500 (multiplicity 2)
Pd 0.000 0.500 0.121 (multiplicity 4)
Pd 0.000 0.500 0.500 (multiplicity 2)

Calculated values
**Energy of formation from the pure elements**: -418 meV/atom
**N(E_F)**: 3.16 states/eV/f.u.



No. 17
A relaxed Sr2In2Pd3 crystal. Source: Alexandria via LeMat-Bulk, functional PBE.

a b c (Å): 12.375 4.143 7.463
angles (deg): 90.00 116.58 90.00
Space group C2/m (No. 12)
Symmetry-distinct sites (fractional):
Sr 0.120 0.000 0.277 (multiplicity 4)
In 0.165 0.000 0.769 (multiplicity 4)
Pd 0.000 0.500 0.500 (multiplicity 2)
Pd 0.095 0.500 0.936 (multiplicity 4)

Calculated values
**Energy of formation from the pure elements**: -566 meV/atom
**N(E_F)**: 3.52 states/eV/f.u.
**Energy relative to the lowest polymorph listed for this composition**: 0.0 kJ per mole of atoms



No. 18
A relaxed SrIn2Pd2 crystal. Source: Alexandria via LeMat-Bulk, functional PBE.

a b c (Å): 4.736 4.736 21.583
angles (deg): 90.00 90.00 90.00
Space group I4/mmm (No. 139)
Symmetry-distinct sites (fractional):
Sr 0.000 0.000 0.133 (multiplicity 4)
In 0.000 0.000 0.310 (multiplicity 4)
In 0.000 0.500 0.000 (multiplicity 4)
Pd 0.000 0.000 0.433 (multiplicity 4)
Pd 0.000 0.500 0.250 (multiplicity 4)

Calculated values
**Energy of formation from the pure elements**: -596 meV/atom
**N(E_F)**: 2.50 states/eV/f.u.